Entry 1:
LaMg2In, optimized geometry, DFT PBE; E_form = -3.2 kcal/mol of atoms; calculated density = 4.610 Mg/m³; density of states at the Fermi level = 2.8 states/eV per cell; calculated volume = 27.23 A^3/atom
1.0
-2.4266 4.8677 -1.7912
-3.5849 2.4467 -3.7355
-5.2346 -0.0452 3.1747
Mg La In
2 1 1
direct
0.4871 0.4871 0.5280
0.0129 0.0129 0.9720
0.2500 0.2500 0.2500
0.7500 0.7500 0.7500

***

Entry 2:
CaInAu2, optimized geometry, DFT PBE; E_form = -10.7 kcal/mol of atoms; calculated density = 9.881 Mg/m³; density of states at the Fermi level = 2.0 states/eV per cell; calculated volume = 23.06 A^3/atom
1.0
3.8491 0.0000 0.0000
0.0000 3.8551 0.0000
0.0000 0.0000 6.2159
In Ca Au
1 1 2
direct
0.5000 0.5000 0.8016
0.0000 0.0000 0.4685
0.5000 0.5000 0.2602
0.0000 0.0000 0.9697

***

Entry 3:
Ca3LaY, optimized geometry, DFT PBE; E_form = 16.1 kcal/mol of atoms; calculated density = 2.814 Mg/m³; energy above the lowest structure with this stoichiometry = 0 meV/atom; density of states at the Fermi level = 1.2 states/eV per cell; calculated volume = 41.07 A^3/atom
1.0
5.8999 0.0000 0.0000
0.0000 5.8999 0.0000
0.0000 0.0000 5.8999
Y Ca La
1 3 1
direct
0.0000 0.0000 0.0000
0.0000 0.5000 0.0000
0.5000 0.0000 0.0000
0.0000 0.0000 0.5000
0.5000 0.5000 0.5000

***

Entry 4:
Cs2RbAgF4, optimized geometry, DFT PBE; calculated density = 4.351 Mg/m³; density of states at the Fermi level = 0.0 states/eV per cell; calculated volume = 25.53 A^3/atom; E_form (uncorrected) = -2197 meV/atom
1.0
-1.0394 3.2470 -2.2069
-4.9898 -5.0101 -1.2846
-7.9356 5.0428 11.1569
F Cs Rb Ag
8 4 2 2
direct
0.4402 0.8805 0.7500
0.0000 0.0000 0.0000
0.5598 0.1195 0.2500
0.7233 0.4466 0.8606
0.2767 0.5534 0.1394
0.2767 0.5534 0.3606
0.0000 0.0000 0.5000
0.7233 0.4466 0.6394
0.3662 0.7325 0.9518
0.6338 0.2675 0.0482
0.6338 0.2675 0.4518
0.3662 0.7325 0.5482
0.1163 0.2326 0.7500
0.8837 0.7674 0.2500
0.1541 0.3082 0.2500
0.8459 0.6918 0.7500

***

Entry 5:
CrNiOs2, optimized geometry, DFT PBE; E_form = 4.2 kcal/mol of atoms; calculated density = 15.623 Mg/m³; energy above the lowest structure with this stoichiometry = 107 meV/atom; density of states at the Fermi level = 5.7 states/eV per cell; calculated volume = 13.05 A^3/atom
1.0
2.6723 0.0000 0.0000
0.0000 2.6723 0.0000
0.0000 0.0000 7.3104
Cr Ni Os
1 1 2
direct
0.0000 0.0000 0.5116
0.5000 0.5000 0.7404
0.0000 0.0000 0.9940
0.5000 0.5000 0.2540

***

Entry 6:
Zn2SnAs3, optimized geometry, DFT PBE; E_form = -2.9 kcal/mol of atoms; calculated density = 5.242 Mg/m³; density of states at the Fermi level = 4.3 states/eV per cell; calculated volume = 25.04 A^3/atom
1.0
7.0744 0.0019 -1.2021
-3.8344 5.9452 -1.2021
0.0102 0.0187 7.1362
Zn As Sn
4 6 2
direct
0.2591 0.7557 0.0091
0.4386 0.6017 0.5102
0.7557 0.2591 0.5091
0.6017 0.4386 0.0102
0.7023 0.5331 0.3769
0.2433 0.0600 0.8967
0.0600 0.2433 0.3967
0.5331 0.7023 0.8769
0.4043 0.8835 0.3766
0.8835 0.4043 0.8766
0.0942 0.9192 0.5018
0.9192 0.0942 0.0018